Record 1
The following is a PBE-GGA calculation of a relaxed Fe5Pb crystal, from the Alexandria database.

a = 4.8961 Å, b = 4.8961 Å, c = 4.1315 Å
α = 90.00°, β = 90.00°, γ = 120.00°
Fractional coordinates of all 6 atoms:
Fe 0.0000 0.5000 0.0000
Fe 0.3333 0.6667 0.5000
Fe 0.5000 0.0000 0.0000
Fe 0.5000 0.5000 0.0000
Fe 0.6667 0.3333 0.5000
Pb 0.0000 0.0000 0.5000

Values from the calculation:
Density of states at the Fermi level ... 5.434 states/eV/cell
E ... -44.0 eV per cell
Formation energy ... 0.340 eV per atom

---

Record 2
The following is a PBE-GGA calculation of a relaxed FePb3 crystal, from the Alexandria database.

a = 5.9814 Å, b = 5.9814 Å, c = 5.9814 Å
α = 90.00°, β = 90.00°, γ = 90.00°
Fractional coordinates of all 8 atoms:
Fe 0.0000 0.0000 0.0000
Fe 0.5000 0.5000 0.5000
Pb 0.0000 0.2500 0.5000
Pb 0.0000 0.7500 0.5000
Pb 0.2500 0.5000 0.0000
Pb 0.5000 0.0000 0.2500
Pb 0.5000 0.0000 0.7500
Pb 0.7500 0.5000 0.0000

Values from the calculation:
Density of states at the Fermi level ... 11.144 states/eV/cell
E ... -34.5 eV per cell
Formation energy ... 0.581 eV per atom

---

Record 3
The following is a PBE-GGA calculation of a relaxed FePb8 crystal, from the Alexandria database.

a = 7.8507 Å, b = 7.8507 Å, c = 7.8507 Å
α = 95.14°, β = 95.14°, γ = 145.17°
Fractional coordinates of all 9 atoms:
Fe 0.0000 0.0000 0.0000
Pb 0.0000 0.3216 0.3216
Pb 0.0000 0.6784 0.6784
Pb 0.3216 0.0000 0.3216
Pb 0.3448 0.3448 0.6896
Pb 0.3448 0.6552 0.0000
Pb 0.6552 0.3448 0.0000
Pb 0.6552 0.6552 0.3104
Pb 0.6784 0.0000 0.6784

Values from the calculation:
Density of states at the Fermi level ... 5.882 states/eV/cell
E ... -36.1 eV per cell
Formation energy ... 0.224 eV per atom

---

Record 4
The following is a PBE-GGA calculation of a relaxed FePb3 crystal, from the Alexandria database.

a = 7.8583 Å, b = 7.8583 Å, c = 3.4974 Å
α = 90.00°, β = 90.00°, γ = 95.52°
Fractional coordinates of all 8 atoms:
Fe 0.0682 0.9318 0.7500
Fe 0.9318 0.0682 0.2500
Pb 0.0787 0.3303 0.7500
Pb 0.3303 0.0787 0.2500
Pb 0.3624 0.6376 0.2500
Pb 0.6376 0.3624 0.7500
Pb 0.6697 0.9213 0.7500
Pb 0.9213 0.6697 0.2500

Values from the calculation:
Density of states at the Fermi level ... 4.770 states/eV/cell
E ... -36.9 eV per cell
Formation energy ... 0.281 eV per atom

---

Record 5
The following is a PBE-GGA calculation of a relaxed Fe4Pb crystal, from the Alexandria database.

a = 4.6540 Å, b = 4.6540 Å, c = 4.6540 Å
α = 100.62°, β = 100.62°, γ = 129.15°
Fractional coordinates of all 5 atoms:
Fe 0.0779 0.6888 0.7667
Fe 0.3112 0.0779 0.3891
Fe 0.6888 0.9221 0.6109
Fe 0.9221 0.3112 0.2333
Pb 0.5000 0.5000 0.0000

Values from the calculation:
Density of states at the Fermi level ... 2.899 states/eV/cell
E ... -35.8 eV per cell
Formation energy ... 0.352 eV per atom

---

Record 6
The following is a PBE-GGA calculation of a relaxed FePb3 crystal, from the Alexandria database.

a = 5.7385 Å, b = 5.7385 Å, c = 3.4148 Å
α = 90.00°, β = 90.00°, γ = 108.31°
Fractional coordinates of all 4 atoms:
Fe 0.0000 0.0000 0.0000
Pb 0.0000 0.5000 0.5000
Pb 0.5000 0.0000 0.5000
Pb 0.5000 0.5000 0.0000

Values from the calculation:
Density of states at the Fermi level ... 4.320 states/eV/cell
E ... -17.4 eV per cell
Formation energy ... 0.552 eV per atom

---

Record 7
The following is a PBE-GGA calculation of a relaxed Fe5Pb4 crystal, from the Alexandria database.

a = 8.2449 Å, b = 8.2449 Å, c = 5.7196 Å
α = 90.00°, β = 90.00°, γ = 120.00°
Fractional coordinates of all 18 atoms:
Fe 0.0000 0.3036 0.2500
Fe 0.0000 0.6964 0.7500
Fe 0.3036 0.0000 0.2500
Fe 0.3036 0.3036 0.7500
Fe 0.3333 0.6667 0.0000
Fe 0.3333 0.6667 0.5000
Fe 0.6667 0.3333 0.0000
Fe 0.6667 0.3333 0.5000
Fe 0.6964 0.0000 0.7500
Fe 0.6964 0.6964 0.2500
Pb 0.0000 0.0000 0.0000
Pb 0.0000 0.0000 0.5000
Pb 0.0000 0.3737 0.7500
Pb 0.0000 0.6263 0.2500
Pb 0.3737 0.0000 0.7500
Pb 0.3737 0.3737 0.2500
Pb 0.6263 0.0000 0.2500
Pb 0.6263 0.6263 0.7500

Values from the calculation:
Density of states at the Fermi level ... 23.320 states/eV/cell
E ... -101.7 eV per cell
Formation energy ... 0.701 eV per atom

---

Record 8
The following is a PBE-GGA calculation of a relaxed FePb3 crystal, from the Alexandria database.

a = 5.1668 Å, b = 5.1668 Å, c = 5.1668 Å
α = 90.00°, β = 90.00°, γ = 90.00°
Fractional coordinates of all 4 atoms:
Fe 0.0000 0.0000 0.0000
Pb 0.0000 0.0000 0.5000
Pb 0.0000 0.5000 0.0000
Pb 0.5000 0.0000 0.0000

Values from the calculation:
Density of states at the Fermi level ... 3.132 states/eV/cell
E ... -18.0 eV per cell
Formation energy ... 0.405 eV per atom

---

Please write out number 5 again, unchanged.
The following is a PBE-GGA calculation of a relaxed Fe4Pb crystal, from the Alexandria database.

a = 4.6540 Å, b = 4.6540 Å, c = 4.6540 Å
α = 100.62°, β = 100.62°, γ = 129.15°
Fractional coordinates of all 5 atoms:
Fe 0.0779 0.6888 0.7667
Fe 0.3112 0.0779 0.3891
Fe 0.6888 0.9221 0.6109
Fe 0.9221 0.3112 0.2333
Pb 0.5000 0.5000 0.0000

Values from the calculation:
Density of states at the Fermi level ... 2.899 states/eV/cell
E ... -35.8 eV per cell
Formation energy ... 0.352 eV per atom